[1]
This record from Alexandria via LeMat-Bulk describes crystalline YSb2IO at its relaxed geometry. The functional is PBE-GGA.

Fermi-level density of states: 3.7 states/eV/cell
formation energy without anion corrections: -11.22 kcal/mol of atoms
uncorrected energy: -4.73 eV per atom
E above lowest polymorph: 0 meV/atom

Geometry as CIF:
```
data_YSb2IO
_chemical_formula_sum 'Y1 Sb2 I1 O1'
_space_group_name_H-M_alt 'P 4/m m m'
_space_group_IT_number 123
_space_group_name_Hall '-P 4 2'
_cell_length_a 4.527
_cell_length_b 4.527
_cell_length_c 6.068
_cell_angle_alpha 90.00
_cell_angle_beta 90.00
_cell_angle_gamma 90.00
loop_
_atom_site_label
_atom_site_type_symbol
_atom_site_fract_x
_atom_site_fract_y
_atom_site_fract_z
Y1 Y 0.000 0.000 0.000
Sb1 Sb 0.000 0.500 0.500
I1 I 0.500 0.500 0.000
O1 O 0.500 0.500 0.500
```

[2]
This record from Alexandria via LeMat-Bulk describes crystalline YSbIO2 at its relaxed geometry. The functional is PBE-GGA.

Fermi-level density of states: 5.7 states/eV/cell
formation energy without anion corrections: -22.62 kcal/mol of atoms
uncorrected energy: -5.39 eV per atom

Geometry as CIF:
```
data_YSbIO2
_chemical_formula_sum 'Y1 Sb1 I1 O2'
_space_group_name_H-M_alt 'P 4/m m m'
_space_group_IT_number 123
_space_group_name_Hall '-P 4 2'
_cell_length_a 4.436
_cell_length_b 4.436
_cell_length_c 6.238
_cell_angle_alpha 90.00
_cell_angle_beta 90.00
_cell_angle_gamma 90.00
loop_
_atom_site_label
_atom_site_type_symbol
_atom_site_fract_x
_atom_site_fract_y
_atom_site_fract_z
Y1 Y 0.000 0.000 0.000
Sb1 Sb 0.500 0.500 0.500
I1 I 0.000 0.000 0.500
O1 O 0.000 0.500 0.000
```

[3]
This record from Alexandria via LeMat-Bulk describes crystalline YSbIO2 at its relaxed geometry. The functional is PBE-GGA.

Fermi-level density of states: 3.0 states/eV/cell
formation energy without anion corrections: -13.13 kcal/mol of atoms
uncorrected energy: -4.98 eV per atom

Geometry as CIF:
```
data_YSbIO2
_chemical_formula_sum 'Y1 Sb1 I1 O2'
_space_group_name_H-M_alt 'P 4/m m m'
_space_group_IT_number 123
_space_group_name_Hall '-P 4 2'
_cell_length_a 4.302
_cell_length_b 4.302
_cell_length_c 5.981
_cell_angle_alpha 90.00
_cell_angle_beta 90.00
_cell_angle_gamma 90.00
loop_
_atom_site_label
_atom_site_type_symbol
_atom_site_fract_x
_atom_site_fract_y
_atom_site_fract_z
Y1 Y 0.000 0.000 0.000
Sb1 Sb 0.500 0.500 0.500
I1 I 0.500 0.500 0.000
O1 O 0.000 0.500 0.500
```

[4]
This record from Alexandria via LeMat-Bulk describes crystalline YSb2IO at its relaxed geometry. The functional is PBE-GGA.

Fermi-level density of states: 13.7 states/eV/cell
formation energy without anion corrections: 15.00 kcal/mol of atoms
uncorrected energy: -3.59 eV per atom
E above lowest polymorph: 1137 meV/atom

Geometry as CIF:
```
data_YSb2IO
_chemical_formula_sum 'Y1 Sb2 I1 O1'
_space_group_name_H-M_alt 'P 4/m m m'
_space_group_IT_number 123
_space_group_name_Hall '-P 4 2'
_cell_length_a 5.883
_cell_length_b 5.883
_cell_length_c 5.760
_cell_angle_alpha 90.00
_cell_angle_beta 90.00
_cell_angle_gamma 90.00
loop_
_atom_site_label
_atom_site_type_symbol
_atom_site_fract_x
_atom_site_fract_y
_atom_site_fract_z
Y1 Y 0.000 0.000 0.000
Sb1 Sb 0.000 0.500 0.000
I1 I 0.000 0.000 0.500
O1 O 0.500 0.500 0.500
```

[5]
This record from Alexandria via LeMat-Bulk describes crystalline ZrSbI2O at its relaxed geometry. The functional is PBE-GGA.

Fermi-level density of states: 2.8 states/eV/cell
formation energy without anion corrections: -17.91 kcal/mol of atoms
uncorrected energy: -4.92 eV per atom
E above lowest polymorph: 0 meV/atom

Geometry as CIF:
```
data_ZrSbI2O
_chemical_formula_sum 'Zr1 Sb1 I2 O1'
_space_group_name_H-M_alt 'P 4/m m m'
_space_group_IT_number 123
_space_group_name_Hall '-P 4 2'
_cell_length_a 5.960
_cell_length_b 5.960
_cell_length_c 3.994
_cell_angle_alpha 90.00
_cell_angle_beta 90.00
_cell_angle_gamma 90.00
loop_
_atom_site_label
_atom_site_type_symbol
_atom_site_fract_x
_atom_site_fract_y
_atom_site_fract_z
Zr1 Zr 0.000 0.000 0.000
Sb1 Sb 0.500 0.500 0.500
I1 I 0.000 0.500 0.000
O1 O 0.000 0.000 0.500
```

[6]
This record from Alexandria via LeMat-Bulk describes crystalline ZrSbI2O at its relaxed geometry. The functional is PBE-GGA.

Fermi-level density of states: 8.9 states/eV/cell
formation energy without anion corrections: 9.32 kcal/mol of atoms
uncorrected energy: -3.74 eV per atom
E above lowest polymorph: 1181 meV/atom

Geometry as CIF:
```
data_ZrSbI2O
_chemical_formula_sum 'Zr1 Sb1 I2 O1'
_space_group_name_H-M_alt 'P 4/m m m'
_space_group_IT_number 123
_space_group_name_Hall '-P 4 2'
_cell_length_a 5.614
_cell_length_b 5.614
_cell_length_c 5.735
_cell_angle_alpha 90.00
_cell_angle_beta 90.00
_cell_angle_gamma 90.00
loop_
_atom_site_label
_atom_site_type_symbol
_atom_site_fract_x
_atom_site_fract_y
_atom_site_fract_z
Zr1 Zr 0.000 0.000 0.000
Sb1 Sb 0.000 0.000 0.500
I1 I 0.000 0.500 0.000
O1 O 0.500 0.500 0.500
```

[7]
This record from Alexandria via LeMat-Bulk describes crystalline ZrSbIO2 at its relaxed geometry. The functional is PBE-GGA.

Fermi-level density of states: 1.2 states/eV/cell
formation energy without anion corrections: -26.03 kcal/mol of atoms
uncorrected energy: -5.96 eV per atom
E above lowest polymorph: 0 meV/atom

Geometry as CIF:
```
data_ZrSbIO2
_chemical_formula_sum 'Zr1 Sb1 I1 O2'
_space_group_name_H-M_alt 'P 4/m m m'
_space_group_IT_number 123
_space_group_name_Hall '-P 4 2'
_cell_length_a 4.228
_cell_length_b 4.228
_cell_length_c 6.260
_cell_angle_alpha 90.00
_cell_angle_beta 90.00
_cell_angle_gamma 90.00
loop_
_atom_site_label
_atom_site_type_symbol
_atom_site_fract_x
_atom_site_fract_y
_atom_site_fract_z
Zr1 Zr 0.000 0.000 0.000
Sb1 Sb 0.500 0.500 0.500
I1 I 0.000 0.000 0.500
O1 O 0.000 0.500 0.000
```

[8]
This record from Alexandria via LeMat-Bulk describes crystalline ZrSbI2O at its relaxed geometry. The functional is PBE-GGA.

Fermi-level density of states: 4.6 states/eV/cell
formation energy without anion corrections: 6.33 kcal/mol of atoms
uncorrected energy: -3.87 eV per atom
E above lowest polymorph: 1051 meV/atom

Geometry as CIF:
```
data_ZrSbI2O
_chemical_formula_sum 'Zr1 Sb1 I2 O1'
_space_group_name_H-M_alt 'P 4/m m m'
_space_group_IT_number 123
_space_group_name_Hall '-P 4 2'
_cell_length_a 5.076
_cell_length_b 5.076
_cell_length_c 4.639
_cell_angle_alpha 90.00
_cell_angle_beta 90.00
_cell_angle_gamma 90.00
loop_
_atom_site_label
_atom_site_type_symbol
_atom_site_fract_x
_atom_site_fract_y
_atom_site_fract_z
Zr1 Zr 0.000 0.000 0.000
Sb1 Sb 0.500 0.500 0.000
I1 I 0.000 0.500 0.500
O1 O 0.500 0.500 0.500
```

Copy entry 7 word for word.
This record from Alexandria via LeMat-Bulk describes crystalline ZrSbIO2 at its relaxed geometry. The functional is PBE-GGA.

Fermi-level density of states: 1.2 states/eV/cell
formation energy without anion corrections: -26.03 kcal/mol of atoms
uncorrected energy: -5.96 eV per atom
E above lowest polymorph: 0 meV/atom

Geometry as CIF:
```
data_ZrSbIO2
_chemical_formula_sum 'Zr1 Sb1 I1 O2'
_space_group_name_H-M_alt 'P 4/m m m'
_space_group_IT_number 123
_space_group_name_Hall '-P 4 2'
_cell_length_a 4.228
_cell_length_b 4.228
_cell_length_c 6.260
_cell_angle_alpha 90.00
_cell_angle_beta 90.00
_cell_angle_gamma 90.00
loop_
_atom_site_label
_atom_site_type_symbol
_atom_site_fract_x
_atom_site_fract_y
_atom_site_fract_z
Zr1 Zr 0.000 0.000 0.000
Sb1 Sb 0.500 0.500 0.500
I1 I 0.000 0.000 0.500
O1 O 0.000 0.500 0.000
```